w) Computed, not measured: an optimized crystal structure of BeAlHO at the GGA-PBE level of DFT. Values from VASP.

```
&SYSTEM
  ibrav = 0, nat = 12, ntyp = 4
/
ATOMIC_SPECIES
Be 9.01 Be.upf
H 1.01 H.upf
O 16.00 O.upf
Al 26.98 Al.upf
CELL_PARAMETERS angstrom
-1.320 0.902 2.157
-1.074 -1.936 -1.518
10.993 -16.911 13.799
ATOMIC_POSITIONS angstrom
Be 5.111 -7.863 6.416
Be 7.538 -13.544 11.948
Be 0.292 -3.217 1.524
H 1.704 -5.389 3.296
H 8.950 -15.717 13.720
H 6.524 -10.036 8.189
O 3.957 -8.855 6.124
O 0.210 -2.272 2.750
O 8.776 -13.501 11.017
Al 10.698 -16.457 13.428
Al 2.131 -5.227 5.161
Al 5.878 -11.810 8.536
```

x) Computed, not measured: an optimized crystal structure of BeAlHO at the GGA-PBE level of DFT. Values from VASP.

```
&SYSTEM
  ibrav = 0, nat = 4, ntyp = 4
/
ATOMIC_SPECIES
H 1.01 H.upf
Be 9.01 Be.upf
O 16.00 O.upf
Al 26.98 Al.upf
CELL_PARAMETERS angstrom
-2.242 -1.256 -0.775
-0.952 -0.922 4.244
-0.553 4.491 -1.026
ATOMIC_POSITIONS angstrom
H -1.133 1.728 -0.747
Be -1.956 2.716 0.040
O -1.141 3.431 1.172
Al -1.343 -0.715 3.818
```

y) Computed, not measured: an optimized crystal structure of BeAlHO at the GGA-PBE level of DFT. Values from VASP.

```
&SYSTEM
  ibrav = 0, nat = 4, ntyp = 4
/
ATOMIC_SPECIES
Be 9.01 Be.upf
Al 26.98 Al.upf
O 16.00 O.upf
H 1.01 H.upf
CELL_PARAMETERS angstrom
-2.122 1.535 0.705
-0.400 -2.488 -1.003
0.208 -2.332 5.698
ATOMIC_POSITIONS angstrom
Be -1.530 -0.005 0.622
Al -0.880 -2.201 2.141
O 0.203 -2.279 5.570
H 0.169 -1.890 4.618
```

z) Computed, not measured: an optimized crystal structure of BeAlHO at the GGA-PBE level of DFT. Values from VASP.

```
&SYSTEM
  ibrav = 0, nat = 8, ntyp = 4
/
ATOMIC_SPECIES
O 16.00 O.upf
Al 26.98 Al.upf
H 1.01 H.upf
Be 9.01 Be.upf
CELL_PARAMETERS angstrom
2.695 0.000 0.000
0.000 2.869 0.000
0.000 0.000 10.053
ATOMIC_POSITIONS angstrom
O 0.000 1.435 1.571
O 1.347 0.000 6.598
Al 0.000 0.000 0.236
Al 1.347 1.435 5.263
H 0.000 1.435 8.235
H 1.347 0.000 3.208
Be 1.347 1.435 2.474
Be 0.000 0.000 7.501
```

Q: Which of them is the most stable? A: w).

w) Computed, not measured: an optimized crystal structure of BeAlHO at the GGA-PBE level of DFT. Values from VASP.

```
&SYSTEM
  ibrav = 0, nat = 8, ntyp = 4
/
ATOMIC_SPECIES
O 16.00 O.upf
H 1.01 H.upf
Al 26.98 Al.upf
Be 9.01 Be.upf
CELL_PARAMETERS angstrom
8.220 0.000 -0.001
0.000 2.686 0.000
-0.239 0.000 4.640
ATOMIC_POSITIONS angstrom
O 3.012 1.343 3.734
O 3.131 0.000 1.414
H 6.363 1.343 1.929
H 6.244 0.000 4.249
Al 7.535 0.000 1.219
Al 7.416 1.343 3.539
Be 3.168 1.343 0.641
Be 3.049 0.000 2.961
```

x) Computed, not measured: an optimized crystal structure of BeAlHO at the GGA-PBE level of DFT. Values from VASP.

```
&SYSTEM
  ibrav = 0, nat = 4, ntyp = 4
/
ATOMIC_SPECIES
H 1.01 H.upf
Al 26.98 Al.upf
O 16.00 O.upf
Be 9.01 Be.upf
CELL_PARAMETERS angstrom
2.713 -0.005 -0.008
0.006 3.664 -0.008
0.014 1.722 3.751
ATOMIC_POSITIONS angstrom
H 1.174 2.754 1.836
Al 2.533 2.824 3.263
O 2.535 4.623 2.583
Be 1.170 1.229 1.697
```

Q: Which of them is the most stable? A: w).

w) Computed, not measured: an optimized crystal structure of BeAlHO at the GGA-PBE level of DFT. Values from VASP.

```
&SYSTEM
  ibrav = 0, nat = 8, ntyp = 4
/
ATOMIC_SPECIES
Al 26.98 Al.upf
Be 9.01 Be.upf
H 1.01 H.upf
O 16.00 O.upf
CELL_PARAMETERS angstrom
-1.116 2.503 3.615
0.479 -2.197 1.669
8.431 0.210 -2.142
ATOMIC_POSITIONS angstrom
Al 6.570 0.287 0.842
Al 2.115 1.280 1.078
Be 1.092 1.044 3.410
Be 5.068 2.247 1.505
H 3.781 1.669 1.113
H -0.196 0.466 3.018
O 2.228 -0.526 1.018
O 6.204 0.678 -0.888
```

x) Computed, not measured: an optimized crystal structure of BeAlHO at the GGA-PBE level of DFT. Values from VASP.

```
&SYSTEM
  ibrav = 0, nat = 8, ntyp = 4
/
ATOMIC_SPECIES
Be 9.01 Be.upf
H 1.01 H.upf
O 16.00 O.upf
Al 26.98 Al.upf
CELL_PARAMETERS angstrom
2.820 0.000 0.000
0.000 3.178 0.000
0.000 0.000 8.496
ATOMIC_POSITIONS angstrom
Be 0.000 1.589 3.081
Be 0.000 0.000 7.329
H 0.000 0.000 3.368
H 0.000 1.589 7.616
O 0.000 0.000 5.783
O 0.000 1.589 1.535
Al 1.410 1.589 0.392
Al 1.410 0.000 4.640
```

y) Computed, not measured: an optimized crystal structure of BeAlHO at the GGA-PBE level of DFT. Values from VASP.

```
&SYSTEM
  ibrav = 0, nat = 12, ntyp = 4
/
ATOMIC_SPECIES
Al 26.98 Al.upf
Be 9.01 Be.upf
H 1.01 H.upf
O 16.00 O.upf
CELL_PARAMETERS angstrom
-0.077 1.336 -2.499
-2.381 -1.061 1.114
-2.529 13.112 7.088
ATOMIC_POSITIONS angstrom
Al -1.850 9.591 5.185
Al -1.009 1.387 -0.836
Al -2.620 4.958 2.731
Be -3.857 11.371 6.198
Be -2.246 7.799 2.631
Be -0.558 2.891 1.563
H -3.073 12.088 4.949
H -2.155 2.547 1.428
H -1.385 7.180 3.881
O -2.529 9.266 3.424
O -4.140 12.838 6.991
O -0.841 4.358 2.356
```

Q: Which of them is the most stable? A: w).

w) Computed, not measured: an optimized crystal structure of HfBeAl at the GGA-PBE level of DFT. Values from VASP.

```
&SYSTEM
  ibrav = 0, nat = 12, ntyp = 3
/
ATOMIC_SPECIES
Be 9.01 Be.upf
Al 26.98 Al.upf
Hf 178.49 Hf.upf
CELL_PARAMETERS angstrom
5.781 0.000 0.000
0.000 5.781 0.000
0.000 0.000 5.781
ATOMIC_POSITIONS angstrom
Be 3.064 5.607 0.174
Be 0.174 3.064 5.607
Be 2.717 2.717 2.717
Be 5.607 0.174 3.064
Al 0.954 1.936 3.844
Al 1.936 3.844 0.954
Al 3.844 0.954 1.936
Al 4.827 4.827 4.827
Hf 4.918 3.753 2.028
Hf 3.753 2.028 4.918
Hf 0.862 0.862 0.862
Hf 2.028 4.918 3.753
```

x) Computed, not measured: an optimized crystal structure of HfBeAl at the GGA-PBE level of DFT. Values from VASP.

```
&SYSTEM
  ibrav = 0, nat = 18, ntyp = 3
/
ATOMIC_SPECIES
Be 9.01 Be.upf
Al 26.98 Al.upf
Hf 178.49 Hf.upf
CELL_PARAMETERS angstrom
3.745 0.000 0.000
0.000 6.444 0.000
0.000 0.000 11.341
ATOMIC_POSITIONS angstrom
Be 1.872 0.372 0.996
Be 1.872 6.072 10.345
Be 1.872 0.372 4.675
Be 0.000 3.587 2.835
Be 0.000 2.857 8.506
Be 1.872 6.072 6.666
Al 1.872 1.252 8.506
Al 1.872 2.770 4.266
Al 1.872 3.674 9.936
Al 1.872 3.674 7.075
Al 1.872 2.770 1.405
Al 1.872 5.192 2.835
Hf 0.000 0.954 2.835
Hf 0.000 4.972 5.135
Hf 0.000 1.471 10.805
Hf 0.000 1.471 6.206
Hf 0.000 4.972 0.536
Hf 0.000 5.490 8.506
```

Q: Which of them is the most stable? A: x).

w) Computed, not measured: an optimized crystal structure of HfBeAl at the GGA-PBE level of DFT. Values from VASP.

```
&SYSTEM
  ibrav = 0, nat = 6, ntyp = 3
/
ATOMIC_SPECIES
Al 26.98 Al.upf
Be 9.01 Be.upf
Hf 178.49 Hf.upf
CELL_PARAMETERS angstrom
3.556 0.000 0.000
0.000 4.937 0.213
-1.778 -0.822 5.260
ATOMIC_POSITIONS angstrom
Al 1.778 3.885 1.105
Al 0.000 0.230 4.368
Be 0.000 3.918 2.620
Be 1.778 0.197 2.853
Hf 1.778 2.619 3.994
Hf 0.000 1.496 1.479
```

x) Computed, not measured: an optimized crystal structure of HfBeAl at the GGA-PBE level of DFT. Values from VASP.

```
&SYSTEM
  ibrav = 0, nat = 3, ntyp = 3
/
ATOMIC_SPECIES
Al 26.98 Al.upf
Be 9.01 Be.upf
Hf 178.49 Hf.upf
CELL_PARAMETERS angstrom
-1.731 -2.479 0.977
0.915 -2.003 -3.458
2.412 -0.386 3.292
ATOMIC_POSITIONS angstrom
Al -0.288 -0.413 0.163
Be 1.624 -1.339 1.205
Hf 0.260 -3.116 -0.556
```

y) Computed, not measured: an optimized crystal structure of HfBeAl at the GGA-PBE level of DFT. Values from VASP.

```
&SYSTEM
  ibrav = 0, nat = 3, ntyp = 3
/
ATOMIC_SPECIES
Al 26.98 Al.upf
Be 9.01 Be.upf
Hf 178.49 Hf.upf
CELL_PARAMETERS angstrom
3.609 0.000 0.000
0.000 3.609 0.000
-1.805 -1.805 3.930
ATOMIC_POSITIONS angstrom
Al 1.805 1.805 0.811
Be 0.000 0.000 2.349
Hf 1.805 1.805 3.521
```

Q: Which of them is the most stable? A: x).

w) Computed, not measured: an optimized crystal structure of HfBe2Al2 at the GGA-PBE level of DFT. Values from VASP.

```
&SYSTEM
  ibrav = 0, nat = 10, ntyp = 3
/
ATOMIC_SPECIES
Be 9.01 Be.upf
Al 26.98 Al.upf
Hf 178.49 Hf.upf
CELL_PARAMETERS angstrom
-2.839 -5.766 2.811
6.336 -3.001 0.242
0.411 1.079 2.628
ATOMIC_POSITIONS angstrom
Be 1.392 -6.946 2.635
Be -1.014 -3.898 1.759
Be 2.105 -1.821 0.419
Be 4.511 -4.869 1.295
Al 3.521 -5.827 3.410
Al 0.386 -1.861 2.271
Al -0.075 -5.197 3.714
Al 3.983 -2.490 1.968
Hf 1.749 -4.383 1.527
Hf 0.000 0.000 0.000
```

x) Computed, not measured: an optimized crystal structure of HfBe2Al2 at the GGA-PBE level of DFT. Values from VASP.

```
&SYSTEM
  ibrav = 0, nat = 5, ntyp = 3
/
ATOMIC_SPECIES
Be 9.01 Be.upf
Al 26.98 Al.upf
Hf 178.49 Hf.upf
CELL_PARAMETERS angstrom
-2.217 1.298 -2.787
-1.217 -3.526 -0.674
-5.452 -0.451 1.549
ATOMIC_POSITIONS angstrom
Be -4.693 -0.134 -1.485
Be -4.193 -2.546 -0.428
Al -2.614 -0.955 -0.943
Al -6.273 -1.724 -0.969
Hf 0.000 0.000 0.000
```

Q: Which of them is the most stable? A: w).